{"formula": "V2TcPtBr", "functional": "PBE", "state": "relaxed", "mass_density_g_cm3": 6.887, "raw_formation_energy_mev_per_atom": 1364, "final_energy_ev_per_atom": -5.90, "dos_ef_per_ev_atom": 1.78, "cell": [[4.731, 0.000, 0.000], [0.000, 5.116, 0.000], [0.000, 0.000, 4.731]], "species": ["Br", "Tc", "Pt", "V", "V"], "fractional_positions": [[0.500, 0.500, 0.500], [0.000, 0.500, 0.000], [0.000, 0.000, 0.000], [0.000, 0.000, 0.500], [0.500, 0.000, 0.000]]}

***

{"formula": "SmHoLuMg", "functional": "PBE", "state": "relaxed", "mass_density_g_cm3": 7.325, "final_energy_ev_per_atom": -3.83, "ef_mev_per_atom": 23, "dos_ef_per_ev_atom": 1.00, "cell": [[5.484, 0.000, 0.000], [2.742, 4.750, 0.000], [2.742, 1.583, 4.478]], "species": ["Mg", "Lu", "Ho", "Sm"], "fractional_positions": [[0.500, 0.500, 0.500], [0.000, 0.000, 0.000], [0.250, 0.250, 0.250], [0.750, 0.750, 0.750]]}